The following is a PBE calculation of a relaxed Nd7SmTm4 crystal, from the Alexandria database.

Results
Total magnetization in μB/atom: 0.000
Volume in Å³ per cell: 401.5
Space group: P-1, No. 2
Formation enthalpy at 0 K in meV/atom: 5
Density in g/cm3: 7.6
DFT total energy in eV/atom: -4.660

Lattice parameters (Å, degrees): 6.320 7.286 8.969 89.98 76.44 89.98
Fractional positions:
1 Nd 0.000 0.000 0.000
2 Nd 0.223 0.500 0.335
3 Nd 0.282 0.751 0.663
4 Nd 0.500 0.246 0.998
5 Nd 0.500 0.754 0.002
6 Nd 0.718 0.249 0.337
7 Nd 0.777 0.500 0.665
8 Sm 0.000 0.500 0.000
9 Tm 0.218 0.000 0.336
10 Tm 0.277 0.245 0.666
11 Tm 0.723 0.755 0.334
12 Tm 0.782 0.000 0.664